Record 1
# Pm8Er2Tm

An optimized crystal structure of Pm8Er2Tm (GGA-PBE, the Alexandria database).

Lattice parameters (Å, degrees): 5.6506 8.2343 9.4263 115.88 107.44 90.00
Closest atoms and distances in Å follow each position.
Positions (direct):
Pm (0.9999, 0.2931, 0.9998)  7 Pm 3.41-3.57, 2 Er 3.64, 2 Tm 3.72
Pm (0.0001, 0.7069, 0.0002)  7 Pm 3.41-3.57, 2 Er 3.64, 2 Tm 3.72
Pm (0.3639, 0.1593, 0.7278)  1 Tm 3.26, 4 Pm 3.37-3.63, 3 Er 3.45-3.56
Pm (0.6359, 0.4316, 0.2717)  1 Tm 3.26, 4 Pm 3.37-3.63, 3 Er 3.45-3.56
Er (0.2013, 0.7009, 0.4025)  10 Pm 3.45-3.64
Pm (0.8371, 0.8369, 0.6743)  8 Pm 3.55-3.75, 2 Er 3.56, 2 Tm 3.84
Pm (0.6361, 0.8407, 0.2722)  1 Tm 3.26, 4 Pm 3.37-3.63, 3 Er 3.45-3.56
Er (0.7987, 0.2991, 0.5975)  10 Pm 3.45-3.64
Pm (0.1629, 0.1631, 0.3257)  8 Pm 3.55-3.75, 2 Er 3.56, 2 Tm 3.84
Pm (0.3641, 0.5684, 0.7283)  1 Tm 3.26, 4 Pm 3.37-3.63, 3 Er 3.45-3.56
Tm (0.5000, 0.0000, 0.0000)  4 Pm 3.26

Values from the calculation:
As for the calculated formation energy: 0.114 eV/atom. For the energy above the most stable polymorph in this dataset, the calculation gives 0.00 kJ per mole of atoms. As for the magnetization: 0.00 μB/f.u. As for the total energy: -50.349 eV/cell.



Record 2
# Pm2ErTm

An optimized crystal structure of Pm2ErTm (GGA-PBE, the Alexandria database).

Lattice parameters (Å, degrees): 3.5937 3.5937 11.7422 81.20 81.20 60.00
Closest atoms and distances in Å follow each position.
Positions (direct):
Pm (0.2493, 0.2493, 0.2522)  3 Tm 3.54, 3 Er 3.59, 6 Pm 3.59
Er (0.6671, 0.6671, 0.9988)  6 Pm 3.56-3.59, 6 Er 3.59
Pm (0.0838, 0.0838, 0.7486)  3 Tm 3.54, 3 Er 3.56, 6 Pm 3.59
Tm (0.4999, 0.4999, 0.5004)  6 Pm 3.54, 6 Tm 3.59

Values from the calculation:
As for the calculated formation energy: 0.019 eV/atom. For the energy above the most stable polymorph in this dataset, the calculation gives 0.30 kJ per mole of atoms. As for the magnetization: 0.00 μB/f.u. As for the total energy: -18.459 eV/cell.



Record 3
# Pm2ErTm2

An optimized crystal structure of Pm2ErTm2 (GGA-PBE, the Alexandria database).

Lattice parameters (Å, degrees): 3.5607 3.5608 14.9030 96.83 83.14 60.00
Closest atoms and distances in Å follow each position.
Positions (direct):
Tm (0.6392, 0.0267, 0.6950)  3 Er 3.49, 3 Pm 3.55, 6 Tm 3.56
Er (0.5000, 0.5000, 0.5000)  6 Tm 3.49, 6 Er 3.56
Tm (0.3608, 0.9733, 0.3050)  3 Er 3.49, 3 Pm 3.55, 6 Tm 3.56
Pm (0.7727, 0.5595, 0.8950)  3 Tm 3.55, 9 Pm 3.56-3.68
Pm (0.2273, 0.4405, 0.1050)  3 Tm 3.55, 9 Pm 3.56-3.68

Values from the calculation:
As for the calculated formation energy: 0.029 eV/atom. For the energy above the most stable polymorph in this dataset, the calculation gives 0.70 kJ per mole of atoms. As for the magnetization: 0.00 μB/f.u. As for the total energy: -22.861 eV/cell.



Record 4
# PmEr5Tm6

An optimized crystal structure of PmEr5Tm6 (GGA-PBE, the Alexandria database).

Lattice parameters (Å, degrees): 6.0765 6.0715 11.6224 85.00 79.98 59.97
Closest atoms and distances in Å follow each position.
Positions (direct):
Tm (0.0835, 0.3338, 0.7485)  5 Er 3.49-3.52, 6 Tm 3.50-3.51, 1 Pm 3.52
Er (0.5000, 0.0000, 0.5000)  6 Tm 3.49, 6 Er 3.50-3.51
Tm (0.7496, 0.0000, 0.7487)  5 Er 3.49-3.52, 6 Tm 3.50-3.51, 1 Pm 3.52
Tm (0.2504, 0.0000, 0.2513)  5 Er 3.49-3.52, 6 Tm 3.50-3.51, 1 Pm 3.52
Er (0.8331, 0.3339, 0.5000)  6 Tm 3.49-3.50, 6 Er 3.50-3.51
Tm (0.9165, 0.6662, 0.2515)  5 Er 3.49-3.52, 6 Tm 3.50-3.51, 1 Pm 3.52
Tm (0.4173, 0.6662, 0.7485)  5 Er 3.49-3.52, 6 Tm 3.50-3.51, 1 Pm 3.52
Er (0.3333, 0.3334, 0.0000)  3 Pm 3.50-3.51, 3 Er 3.50-3.51, 6 Tm 3.52
Tm (0.5827, 0.3338, 0.2515)  5 Er 3.49-3.52, 6 Tm 3.50-3.51, 1 Pm 3.52
Pm (0.0000, 0.0000, 0.0000)  6 Er 3.50-3.51, 6 Tm 3.52
Er (0.6667, 0.6666, 0.0000)  3 Pm 3.50-3.51, 3 Er 3.50-3.51, 6 Tm 3.52
Er (0.1669, 0.6661, 0.5000)  6 Tm 3.49-3.50, 6 Er 3.50-3.51

Values from the calculation:
As for the calculated formation energy: 0.024 eV/atom. As for the magnetization: 0.00 μB/f.u. As for the total energy: -54.103 eV/cell.



Record 5
# Pm8Er3Tm2

An optimized crystal structure of Pm8Er3Tm2 (GGA-PBE, the Alexandria database).

Lattice parameters (Å, degrees): 3.6623 11.8506 11.8508 58.26 98.88 98.88
Closest atoms and distances in Å follow each position.
Positions (direct):
Pm (0.6699, 0.4217, 0.9175)  7 Pm 3.43-3.75, 3 Tm 3.56-3.64
Er (0.0000, 0.7385, 0.2615)  4 Er 3.53-3.66, 8 Pm 3.65-3.91
Pm (0.8684, 0.8689, 0.8689)  2 Er 3.24, 2 Tm 3.49, 4 Pm 3.53
Pm (0.5758, 0.5763, 0.5763)  3 Pm 3.11-3.43
Er (0.5000, 0.0000, 0.0000)  4 Pm 3.24, 4 Er 3.53
Pm (0.1316, 0.1311, 0.1311)  2 Er 3.24, 2 Tm 3.49, 4 Pm 3.53
Pm (0.3301, 0.5783, 0.0825)  7 Pm 3.43-3.75, 3 Tm 3.56-3.64
Tm (0.2228, 0.7229, 0.7229)  10 Pm 3.49-3.64, 2 Tm 3.66
Pm (0.3301, 0.0825, 0.5783)  7 Pm 3.43-3.75, 3 Tm 3.56-3.64
Tm (0.7772, 0.2771, 0.2771)  10 Pm 3.49-3.64, 2 Tm 3.66
Pm (0.6699, 0.9175, 0.4217)  7 Pm 3.43-3.75, 3 Tm 3.56-3.64
Er (0.0000, 0.2615, 0.7385)  4 Er 3.53-3.66, 8 Pm 3.65-3.91
Pm (0.4242, 0.4237, 0.4237)  3 Pm 3.11-3.43

Values from the calculation:
As for the calculated formation energy: 0.082 eV/atom. For the energy above the most stable polymorph in this dataset, the calculation gives 0.00 kJ per mole of atoms. As for the magnetization: 0.00 μB/f.u. As for the total energy: -59.568 eV/cell.



Record 6
# PmEr3Tm8

An optimized crystal structure of PmEr3Tm8 (GGA-PBE, the Alexandria database).

Lattice parameters (Å, degrees): 9.2840 9.2791 7.8260 89.82 139.55 111.06
Closest atoms and distances in Å follow each position.
Positions (direct):
Tm (0.1667, 0.9166, 0.7492)  7 Tm 3.49-3.51, 4 Er 3.50-3.51, 1 Pm 3.51
Tm (0.8336, 0.0835, 0.2511)  7 Tm 3.49-3.51, 4 Er 3.50-3.51, 1 Pm 3.51
Tm (0.8323, 0.5822, 0.7487)  7 Tm 3.49-3.51, 4 Er 3.50-3.51, 1 Pm 3.52
Tm (0.1679, 0.4178, 0.2516)  7 Tm 3.49-3.51, 4 Er 3.50-3.51, 1 Pm 3.52
Er (0.9999, 0.5000, 0.4998)  10 Tm 3.49-3.51, 2 Er 3.49
Er (0.4991, 0.7493, 0.2483)  1 Er 3.49, 10 Tm 3.50-3.52, 1 Pm 3.51
Tm (0.3336, 0.3339, 0.9999)  7 Tm 3.49-3.51, 4 Er 3.50-3.51, 1 Pm 3.51
Pm (0.9998, 0.0000, 0.9998)  10 Tm 3.51-3.52, 2 Er 3.51
Tm (0.3314, 0.8319, 0.4996)  3 Er 3.49-3.52, 7 Tm 3.49-3.53, 2 Pm 3.51-3.52
Tm (0.6662, 0.6661, 0.0000)  7 Tm 3.49-3.51, 4 Er 3.50-3.51, 1 Pm 3.51
Er (0.5011, 0.2507, 0.7519)  1 Er 3.49, 10 Tm 3.50-3.52, 1 Pm 3.51
Tm (0.6684, 0.1681, 0.5003)  3 Er 3.49-3.52, 7 Tm 3.49-3.53, 2 Pm 3.51-3.52

Values from the calculation:
As for the calculated formation energy: 0.026 eV/atom. As for the magnetization: 0.00 μB/f.u. As for the total energy: -53.893 eV/cell.



Number 1: DOS(E_F) 16.88 states/eV/cell. Number 2: DOS(E_F) 5.81 states/eV/cell. Number 3: DOS(E_F) 6.64 states/eV/cell. Number 4: DOS(E_F) 16.58 states/eV/cell. Number 5: DOS(E_F) 19.92 states/eV/cell. Number 6: DOS(E_F) 16.92 states/eV/cell.